LiIr2W | GGA-PBEsol | relaxed

## Properties
* density: 17.5 Mg/m³
* total moment: 0.000 μB/f.u.
* E_tot: -36.154 eV/f.u.

Unit cell a=2.8001 b=3.4725 c=5.6180 alpha=90.00 beta=90.00 gamma=90.00
Fractional coordinates of all 4 atoms:
Ir 0.0000 0.0000 0.7613
Ir 0.0000 0.0000 0.2387
W 0.5000 0.5000 0.5000
Li 0.5000 0.5000 0.0000